Record 1
The following is a GGA-PBE calculation of a relaxed NiC crystal, from Alexandria via LeMat-Bulk.

a b c (Å): 4.4846 4.4846 5.2816
angles (deg): 115.72 115.72 34.49
Positions (direct):
1 Ni 0.0000 0.0000 0.0000
2 Ni 0.5114 0.5114 0.5727
3 Ni 0.7777 0.7777 0.1612
4 C 0.1882 0.1882 0.6040
5 C 0.2271 0.2271 0.3684
6 C 0.3213 0.3213 0.8925

Summary:
Density of states at the Fermi level (states/eV per cell): 2.0
Calculated formation energy (eV per atom): 0.556

***

Record 2
The following is a GGA-PBE calculation of a relaxed Tb4YHo3S8 crystal, from Alexandria via LeMat-Bulk.

a b c (Å): 7.8256 7.8256 7.8256
angles (deg): 59.93 59.93 59.93
Positions (direct):
1 Tb 0.0000 0.0000 0.0000
2 Tb 0.0000 0.5000 0.5000
3 Tb 0.5000 0.0000 0.5000
4 Tb 0.5000 0.5000 0.0000
5 Y 0.5000 0.5000 0.5000
6 Ho 0.0000 0.0000 0.5000
7 Ho 0.0000 0.5000 0.0000
8 Ho 0.5000 0.0000 0.0000
9 S 0.2473 0.7496 0.7496
10 S 0.2485 0.2485 0.2485
11 S 0.2504 0.2504 0.7527
12 S 0.2504 0.7527 0.2504
13 S 0.7496 0.2473 0.7496
14 S 0.7496 0.7496 0.2473
15 S 0.7515 0.7515 0.7515
16 S 0.7527 0.2504 0.2504

Summary:
Density of states at the Fermi level (states/eV per cell): 9.2
Uncorrected formation energy (meV per atom): -1991

***

Record 3
The following is a GGA-PBE calculation of a relaxed TiSn2I crystal, from Alexandria via LeMat-Bulk.

a b c (Å): 12.4764 12.4764 12.4764
angles (deg): 160.37 160.37 27.91
Positions (direct):
1 Ti 0.0000 0.0000 0.0000
2 Ti 0.7500 0.2500 0.5000
3 Sn 0.1138 0.6250 0.9888
4 Sn 0.3750 0.3638 0.4888
5 Sn 0.6362 0.1250 0.0112
6 Sn 0.8750 0.8862 0.5112
7 I 0.2500 0.7500 0.5000
8 I 0.5000 0.5000 0.0000

Summary:
Density of states at the Fermi level (states/eV per cell): 11.4
Uncorrected formation energy (meV per atom): 305

***

Record 4
The following is a GGA-PBE calculation of a relaxed K3Pm2PbS6 crystal, from Alexandria via LeMat-Bulk.

a b c (Å): 7.2259 7.2259 7.7887
angles (deg): 98.89 98.89 119.99
Positions (direct):
1 K 0.0000 0.0000 0.0000
2 K 0.3358 0.6642 0.0000
3 K 0.6642 0.3358 0.0000
4 Pm 0.1669 0.8331 0.5000
5 Pm 0.8331 0.1669 0.5000
6 Pb 0.5000 0.5000 0.5000
7 S 0.0916 0.4304 0.2913
8 S 0.2304 0.2304 0.7082
9 S 0.4304 0.0916 0.2913
10 S 0.5696 0.9084 0.7087
11 S 0.7696 0.7696 0.2918
12 S 0.9084 0.5696 0.7087

Summary:
Density of states at the Fermi level (states/eV per cell): 5.0
Uncorrected formation energy (meV per atom): -1446